# TeIrPdI2, optimized geometry, DFT GGA-PBE
# ρ = 7.21 g/cm3
# ΔE_f (raw) = 0.730 eV per atom
data_TeIrPdI2
_cell_length_a 5.598
_cell_length_b 5.598
_cell_length_c 4.999
_cell_angle_alpha 90.00
_cell_angle_beta 90.00
_cell_angle_gamma 90.00
_space_group_name_H-M_alt 'P 4/m m m'
_space_group_IT_number 123
_space_group_name_Hall '-P 4 2'
loop_
_atom_site_label
_atom_site_type_symbol
_atom_site_fract_x
_atom_site_fract_y
_atom_site_fract_z
Te1 Te 0.000 0.000 0.000
Ir1 Ir 0.000 0.000 0.500
Pd1 Pd 0.500 0.500 0.000
I1 I 0.000 0.500 0.500

# Pm3IrI, optimized geometry, DFT GGA-PBE
# ρ = 7.68 g/cm3
# ΔE_f (raw) = -0.652 eV per atom
data_Pm3IrI
_cell_length_a 3.985
_cell_length_b 9.506
_cell_length_c 8.613
_cell_angle_alpha 90.00
_cell_angle_beta 90.00
_cell_angle_gamma 90.00
_space_group_name_H-M_alt 'P m m n'
_space_group_IT_number 59
loop_
_space_group_symop_operation_xyz
'x,y,z'
'-x,-y,-z'
'-x+1/2,-y+1/2,z'
'x+1/2,y+1/2,-z'
'x+1/2,-y,-z'
'-x+1/2,y,z'
'-x,y+1/2,-z'
'x,-y+1/2,z'
loop_
_atom_site_label
_atom_site_type_symbol
_atom_site_fract_x
_atom_site_fract_y
_atom_site_fract_z
Pm1 Pm 0.250 0.072 0.153
Pm2 Pm 0.250 0.250 0.759
Ir1 Ir 0.250 0.750 0.017
I1 I 0.250 0.750 0.566

# Pm2IrI, optimized geometry, DFT GGA-PBE
# ρ = 8.22 g/cm3
# ΔE_f (raw) = -0.971 eV per atom
data_Pm2IrI
_cell_length_a 4.1993
_cell_length_b 4.1993
_cell_length_c 24.1636
_cell_angle_alpha 90.00
_cell_angle_beta 90.00
_cell_angle_gamma 120.00
_space_group_name_H-M_alt 'R -3 m'
_space_group_IT_number 166
_space_group_name_Hall '-R 3 2"'
loop_
_atom_site_label
_atom_site_type_symbol
_atom_site_fract_x
_atom_site_fract_y
_atom_site_fract_z
Pm1 Pm 0.0000 0.0000 0.2275
Ir1 Ir 0.0000 0.0000 0.5000
I1 I 0.0000 0.0000 0.0000

# Pm2IrI3, optimized geometry, DFT GGA-PBE
# ρ = 6.56 g/cm3
# ΔE_f (raw) = -1.020 eV per atom
data_Pm2IrI3
_cell_length_a 18.285
_cell_length_b 4.442
_cell_length_c 12.620
_cell_angle_alpha 90.00
_cell_angle_beta 121.48
_cell_angle_gamma 90.00
_space_group_name_H-M_alt 'C 1 2/m 1'
_space_group_IT_number 12
loop_
_space_group_symop_operation_xyz
'x,y,z'
'-x,-y,-z'
'-x,y,-z'
'x,-y,z'
'x+1/2,y+1/2,z'
'-x+1/2,-y+1/2,-z'
'-x+1/2,y+1/2,-z'
'x+1/2,-y+1/2,z'
loop_
_atom_site_label
_atom_site_type_symbol
_atom_site_fract_x
_atom_site_fract_y
_atom_site_fract_z
Pm1 Pm 0.084 0.000 0.409
Pm2 Pm 0.131 0.500 0.800
Ir1 Ir 0.074 0.000 0.635
I1 I 0.052 0.500 0.209
I2 I 0.162 0.000 0.020
I3 I 0.208 0.500 0.607

# PmIrI, optimized geometry, DFT GGA-PBE
# ρ = 7.78 g/cm3
# ΔE_f (raw) = -1.073 eV per atom
data_PmIrI
_cell_length_a 7.538
_cell_length_b 4.353
_cell_length_c 12.083
_cell_angle_alpha 90.00
_cell_angle_beta 91.20
_cell_angle_gamma 90.00
_space_group_name_H-M_alt 'C 1 2/m 1'
_space_group_IT_number 12
loop_
_space_group_symop_operation_xyz
'x,y,z'
'-x,-y,-z'
'-x,y,-z'
'x,-y,z'
'x+1/2,y+1/2,z'
'-x+1/2,-y+1/2,-z'
'-x+1/2,y+1/2,-z'
'x+1/2,-y+1/2,z'
loop_
_atom_site_label
_atom_site_type_symbol
_atom_site_fract_x
_atom_site_fract_y
_atom_site_fract_z
Pm1 Pm 0.005 0.000 0.155
Ir1 Ir 0.167 0.500 0.998
I1 I 0.178 0.500 0.330

# Pm4IrI5, optimized geometry, DFT GGA-PBE
# ρ = 6.24 g/cm3
# ΔE_f (raw) = -1.202 eV per atom
data_Pm4IrI5
_cell_length_a 19.875
_cell_length_b 4.238
_cell_length_c 9.127
_cell_angle_alpha 90.00
_cell_angle_beta 102.90
_cell_angle_gamma 90.00
_space_group_name_H-M_alt 'C 1 2/m 1'
_space_group_IT_number 12
loop_
_space_group_symop_operation_xyz
'x,y,z'
'-x,-y,-z'
'-x,y,-z'
'x,-y,z'
'x+1/2,y+1/2,z'
'-x+1/2,-y+1/2,-z'
'-x+1/2,y+1/2,-z'
'x+1/2,-y+1/2,z'
loop_
_atom_site_label
_atom_site_type_symbol
_atom_site_fract_x
_atom_site_fract_y
_atom_site_fract_z
Pm1 Pm 0.000 0.000 0.204
Pm2 Pm 0.145 0.500 0.077
Ir1 Ir 0.000 0.500 0.000
I1 I 0.000 0.500 0.500
I2 I 0.168 0.000 0.345
I3 I 0.175 0.000 0.830

# Pm4IrI3, optimized geometry, DFT GGA-PBE
# ρ = 6.87 g/cm3
# ΔE_f (raw) = -0.729 eV per atom
data_Pm4IrI3
_cell_length_a 5.925
_cell_length_b 11.564
_cell_length_c 8.138
_cell_angle_alpha 90.00
_cell_angle_beta 90.00
_cell_angle_gamma 90.00
_space_group_name_H-M_alt 'P m m n'
_space_group_IT_number 59
loop_
_space_group_symop_operation_xyz
'x,y,z'
'-x,-y,-z'
'-x+1/2,-y+1/2,z'
'x+1/2,y+1/2,-z'
'x+1/2,-y,-z'
'-x+1/2,y,z'
'-x,y+1/2,-z'
'x,-y+1/2,z'
loop_
_atom_site_label
_atom_site_type_symbol
_atom_site_fract_x
_atom_site_fract_y
_atom_site_fract_z
Pm1 Pm 0.250 0.020 0.189
Pm2 Pm 0.250 0.250 0.831
Pm3 Pm 0.250 0.750 0.872
Ir1 Ir 0.250 0.250 0.163
I1 I 0.250 0.000 0.638
I2 I 0.250 0.750 0.312

# Pm3IrI2, optimized geometry, DFT GGA-PBE
# ρ = 7.60 g/cm3
# ΔE_f (raw) = -0.912 eV per atom
data_Pm3IrI2
_cell_length_a 4.132
_cell_length_b 6.119
_cell_length_c 15.230
_cell_angle_alpha 90.00
_cell_angle_beta 90.00
_cell_angle_gamma 90.00
_space_group_name_H-M_alt 'I m m m'
_space_group_IT_number 71
_space_group_name_Hall '-I 2 2'
loop_
_atom_site_label
_atom_site_type_symbol
_atom_site_fract_x
_atom_site_fract_y
_atom_site_fract_z
Pm1 Pm 0.000 0.000 0.000
Pm2 Pm 0.000 0.000 0.381
Ir1 Ir 0.000 0.500 0.000
I1 I 0.000 0.500 0.314

| no. | VASP energy (eV/atom) |
| --- | --- |
| 1 | -3.329 |
| 2 | -5.585 |
| 3 | -5.949 |
| 4 | -4.856 |
| 5 | -6.127 |
| 6 | -4.763 |
| 7 | -4.793 |
| 8 | -5.281 |